No. 1
Material: PmDyY2Tm
Method: DFT, GGA-PBE
State: optimized geometry

Cell and atoms, written as CIF:
```
data_PmDyY2Tm
_cell_length_a 8.409
_cell_length_b 11.430
_cell_length_c 7.220
_cell_angle_alpha 90.00
_cell_angle_beta 90.00
_cell_angle_gamma 90.00
_space_group_name_H-M_alt 'C m c m'
_space_group_IT_number 63
_space_group_name_Hall '-C 2c 2'
loop_
_atom_site_label
_atom_site_type_symbol
_atom_site_fract_x
_atom_site_fract_y
_atom_site_fract_z
_atom_site_occupancy
Pm1 Pm 0.000 0.228 0.250 1
Dy1 Dy 0.000 0.497 0.250 1
Y1 Y 0.191 0.000 0.000 1
Tm1 Tm 0.000 0.224 0.750 1
```

**Calculated formation energy**: 0.398 eV/atom
**Size of the total moment**: 0.00 Bohr magnetons per cell



No. 2
Material: Pm2DyY3Tm6
Method: DFT, GGA-PBE
State: optimized geometry

Cell and atoms, written as CIF:
```
data_Pm2DyY3Tm6
_cell_length_a 6.140
_cell_length_b 10.623
_cell_length_c 11.710
_cell_angle_alpha 90.00
_cell_angle_beta 100.04
_cell_angle_gamma 90.00
_space_group_name_H-M_alt 'C 1 2/m 1'
_space_group_IT_number 12
loop_
_space_group_symop_operation_xyz
'x,y,z'
'-x,-y,-z'
'-x,y,-z'
'x,-y,z'
'x+1/2,y+1/2,z'
'-x+1/2,-y+1/2,-z'
'-x+1/2,y+1/2,-z'
'x+1/2,-y+1/2,z'
loop_
_atom_site_label
_atom_site_type_symbol
_atom_site_fract_x
_atom_site_fract_y
_atom_site_fract_z
_atom_site_occupancy
Pm1 Pm 0.000 0.167 0.000 1
Dy1 Dy 0.000 0.500 0.000 1
Y1 Y 0.000 0.000 0.500 1
Y2 Y 0.000 0.333 0.500 1
Tm1 Tm 0.248 0.500 0.749 1
Tm2 Tm 0.249 0.166 0.749 1
```

**Calculated formation energy**: 0.025 eV/atom
**Size of the total moment**: 0.00 Bohr magnetons per cell



No. 3
Material: PmDy3Y6Tm2
Method: DFT, GGA-PBE
State: optimized geometry

Cell and atoms, written as CIF:
```
data_PmDy3Y6Tm2
_cell_length_a 6.160
_cell_length_b 10.658
_cell_length_c 11.793
_cell_angle_alpha 90.00
_cell_angle_beta 99.97
_cell_angle_gamma 90.00
_space_group_name_H-M_alt 'C 1 2/m 1'
_space_group_IT_number 12
loop_
_space_group_symop_operation_xyz
'x,y,z'
'-x,-y,-z'
'-x,y,-z'
'x,-y,z'
'x+1/2,y+1/2,z'
'-x+1/2,-y+1/2,-z'
'-x+1/2,y+1/2,-z'
'x+1/2,-y+1/2,z'
loop_
_atom_site_label
_atom_site_type_symbol
_atom_site_fract_x
_atom_site_fract_y
_atom_site_fract_z
_atom_site_occupancy
Pm1 Pm 0.000 0.000 0.000 1
Dy1 Dy 0.000 0.167 0.500 1
Dy2 Dy 0.000 0.500 0.500 1
Y1 Y 0.249 0.333 0.750 1
Y2 Y 0.250 0.000 0.750 1
Tm1 Tm 0.000 0.333 0.000 1
```

**Calculated formation energy**: 0.022 eV/atom
**Size of the total moment**: 0.00 Bohr magnetons per cell



No. 4
Material: PmDy2Y5Tm
Method: DFT, GGA-PBE
State: optimized geometry

Cell and atoms, written as CIF:
```
data_PmDy2Y5Tm
_cell_length_a 8.947
_cell_length_b 8.947
_cell_length_c 14.736
_cell_angle_alpha 90.00
_cell_angle_beta 90.00
_cell_angle_gamma 90.00
_space_group_name_H-M_alt 'I 4/m c m'
_space_group_IT_number 140
_space_group_name_Hall '-I 4 2c'
loop_
_atom_site_label
_atom_site_type_symbol
_atom_site_fract_x
_atom_site_fract_y
_atom_site_fract_z
_atom_site_occupancy
Pm1 Pm 0.000 0.000 0.250 1
Dy1 Dy 0.112 0.388 0.000 1
Y1 Y 0.000 0.000 0.000 1
Y2 Y 0.205 0.295 0.367 1
Tm1 Tm 0.000 0.500 0.250 1
```

**Calculated formation energy**: 0.282 eV/atom
**Size of the total moment**: 0.00 Bohr magnetons per cell